No. 1
A geometry-optimized InFe2Au structure. Source: Alexandria via LeMat-Bulk, functional PBE-GGA.

```
InFe2Au
1.0
0.0000 3.1698 3.1698
3.1698 0.0000 3.1698
3.1698 3.1698 0.0000
In Fe Au
1 2 1
Direct
0.0000 0.0000 0.0000
0.5000 0.5000 0.5000
0.7500 0.7500 0.7500
0.2500 0.2500 0.2500
```

Properties
The magnetization is 5.39 μB per cell. The calculated formation energy is 0.199 eV/atom.

No. 2
A geometry-optimized HfTcAs2 structure. Source: Alexandria via LeMat-Bulk, functional PBE-GGA.

```
HfTcAs2
1.0
1.9628 1.1332 5.3515
-1.9628 1.1332 5.3515
0.0000 -2.2664 5.3515
Hf Tc As
1 1 2
Direct
0.0000 0.0000 0.0000
0.5000 0.5000 0.5000
0.2394 0.2394 0.2394
0.7606 0.7606 0.7606
```

Properties
The magnetization is 0.00 μB per cell. The energy relative to the lowest polymorph listed for this composition comes out at 3 meV per atom. The calculated formation energy is -0.321 eV/atom.

No. 3
A geometry-optimized Sm3HoMg structure. Source: Alexandria via LeMat-Bulk, functional PBE-GGA.

```
Sm3HoMg
1.0
3.8000 0.0000 0.0000
0.0000 10.5636 0.0000
0.0000 0.0000 8.1675
Sm Ho Mg
6 2 2
Direct
0.2500 0.0030 0.2349
0.2500 0.4970 0.2349
0.2500 0.7500 0.5566
0.7500 0.2500 0.4434
0.7500 0.5030 0.7651
0.7500 0.9970 0.7651
0.2500 0.7500 0.9438
0.7500 0.2500 0.0562
0.2500 0.2500 0.7546
0.7500 0.7500 0.2454
```

Properties
The magnetization is 0.00 μB per cell. The energy relative to the lowest polymorph listed for this composition comes out at 71 meV per atom. The calculated formation energy is 0.125 eV/atom.

No. 4
A geometry-optimized RuPt4 structure. Source: Alexandria via LeMat-Bulk, functional PBE-GGA.

```
RuPt4
1.0
1.3946 0.8052 11.3683
-1.3946 0.8052 11.3683
0.0000 -1.6103 11.3683
Ru Pt
1 4
Direct
0.0000 0.0000 0.0000
0.2010 0.2010 0.2010
0.3971 0.3971 0.3971
0.6029 0.6029 0.6029
0.7990 0.7990 0.7990
```

Properties
The magnetization is 0.00 μB per cell. The energy relative to the lowest polymorph listed for this composition comes out at 2 meV per atom. The calculated formation energy is 0.000 eV/atom.

For each record above, in turn, the calculated E_tot values are -5.536 -7.726 -3.941 -6.688 eV/atom.